[1]
InAuNO (PBE-GGA, optimized geometry); space-group type = No. 29; E above lowest polymorph = 22 meV per atom
1.0
5.585 0.000 0.000
0.000 7.577 0.000
0.000 0.000 5.416
Au O In N
4 4 4 4
Direct
0.546 0.044 0.010
0.454 0.956 0.510
0.954 0.044 0.510
0.046 0.956 0.010
0.843 0.588 0.075
0.157 0.412 0.575
0.657 0.588 0.575
0.343 0.412 0.075
0.996 0.358 0.917
0.504 0.358 0.417
0.004 0.642 0.417
0.496 0.642 0.917
0.323 0.814 0.200
0.677 0.186 0.700
0.177 0.814 0.700
0.823 0.186 0.200

=====

[2]
LuThGe (PBE-GGA, optimized geometry); space-group type = No. 216; E_tot = -5.021 eV per atom
1.0
0.000 3.495 3.495
3.495 0.000 3.495
3.495 3.495 0.000
Lu Ge Th
1 1 1
Direct
0.000 0.000 0.000
0.250 0.250 0.250
0.750 0.750 0.750

=====

[3]
LiSmHgTe3 (PBE-GGA, optimized geometry); space-group type = No. 62; E above lowest polymorph = 5 meV per atom
1.0
12.828 0.000 0.000
0.000 4.375 0.000
0.000 0.000 13.764
Li Te Hg Sm
4 12 4 4
Direct
0.990 0.500 0.886
0.510 0.500 0.386
0.010 0.000 0.114
0.490 0.000 0.614
0.136 0.500 0.221
0.636 0.000 0.279
0.423 0.000 0.075
0.641 0.500 0.567
0.141 0.000 0.933
0.923 0.500 0.425
0.859 0.500 0.067
0.359 0.000 0.433
0.364 0.500 0.721
0.077 0.000 0.575
0.864 0.000 0.779
0.577 0.500 0.925
0.287 0.000 0.231
0.787 0.500 0.269
0.713 0.500 0.769
0.213 0.000 0.731
0.322 0.500 0.940
0.678 0.000 0.060
0.822 0.000 0.560
0.178 0.500 0.440

=====

[4]
TaAuO3 (PBE-GGA, optimized geometry); space-group type = No. 99; E_tot = -7.642 eV per atom
1.0
3.962 0.000 0.000
0.000 3.962 0.000
0.000 0.000 4.004
O Ta Au
3 1 1
Direct
0.000 0.500 0.591
0.500 0.500 0.080
0.500 0.000 0.591
0.500 0.500 0.560
0.000 0.000 0.079

=====

- What is the formula in the fourth record?
  TaAuO3